# 1
Density functional theory data (PBE-GGA) for a relaxed TeMoBr2 crystal.

Geometry as POSCAR:
```
TeMoBr2
1.0
6.792 0.000 0.000
0.000 3.425 0.000
-3.347 0.000 6.104
Te Mo Br
1 1 2
direct
0.000 0.000 0.000
0.982 0.500 0.277
0.348 0.500 0.595
0.700 0.000 0.279
```

formation energy from raw total energies: -211 meV per atom
mass density: 4.48 g cm⁻³
raw total energy: -4.5404 eV/atom
ΔE to the lowest computed polymorph: 0 meV/atom

---

# 2
Density functional theory data (PBE-GGA) for a relaxed Zn2CoCu8 crystal.

Geometry as POSCAR:
```
Zn2CoCu8
1.0
6.574 -1.825 0.000
6.574 1.825 0.000
-1.505 0.000 5.581
Zn Co Cu
2 1 8
direct
0.134 0.134 0.180
0.866 0.866 0.820
0.500 0.500 0.000
0.046 0.046 0.727
0.228 0.228 0.639
0.320 0.320 0.096
0.410 0.410 0.545
0.590 0.590 0.455
0.680 0.680 0.904
0.772 0.772 0.361
0.954 0.954 0.273
```

energy of formation: 0.0038 eV per atom
mass density: 8.66 g cm⁻³
raw total energy: -3.8529 eV/atom

---

# 3
Density functional theory data (PBE-GGA) for a relaxed Ce3Tl4 crystal.

Geometry as POSCAR:
```
Ce3Tl4
1.0
7.274 4.200 2.237
-7.274 4.200 2.237
0.000 -8.400 2.237
Ce Tl
6 8
direct
0.009 0.398 0.276
0.276 0.009 0.398
0.398 0.276 0.009
0.602 0.724 0.991
0.724 0.991 0.602
0.991 0.602 0.724
0.000 0.000 0.000
0.093 0.241 0.557
0.241 0.557 0.093
0.443 0.907 0.759
0.500 0.500 0.500
0.557 0.093 0.241
0.759 0.443 0.907
0.907 0.759 0.443
```

energy of formation: -0.2241 eV per atom
mass density: 10.03 g cm⁻³
raw total energy: -4.1193 eV/atom

---

# 4
Density functional theory data (PBE-GGA) for a relaxed V3RhS crystal.

Geometry as POSCAR:
```
V3RhS
1.0
4.236 0.000 0.000
0.000 4.236 0.000
0.000 0.000 4.236
V Rh S
3 1 1
direct
0.000 0.000 0.500
0.000 0.500 0.000
0.500 0.000 0.000
0.500 0.500 0.500
0.000 0.000 0.000
```

formation energy from raw total energies: 99 meV per atom
mass density: 6.29 g cm⁻³
raw total energy: -7.6681 eV/atom
ΔE to the lowest computed polymorph: 0 meV/atom

---

# 5
Density functional theory data (PBE-GGA) for a relaxed Tl2P crystal.

Geometry as POSCAR:
```
Tl2P
1.0
5.891 -1.672 0.000
5.891 1.672 0.000
-3.121 0.000 8.246
Tl P
4 2
direct
0.011 0.011 0.194
0.348 0.348 0.420
0.652 0.652 0.580
0.989 0.989 0.806
0.276 0.276 0.935
0.724 0.724 0.065
```

energy of formation: 0.0771 eV per atom
mass density: 8.99 g cm⁻³
raw total energy: -3.3037 eV/atom
ΔE to the lowest computed polymorph: 11 meV/atom

---

# 6
Density functional theory data (PBE-GGA) for a relaxed AcNp2PdS5 crystal.

Geometry as POSCAR:
```
AcNp2PdS5
1.0
-3.752 3.752 6.732
3.752 -3.752 6.732
3.752 3.752 -6.732
Ac Np Pd S
2 4 2 10
direct
0.250 0.250 0.000
0.750 0.750 0.000
0.150 0.650 0.799
0.350 0.150 0.500
0.650 0.850 0.500
0.850 0.350 0.201
0.250 0.750 0.500
0.750 0.250 0.500
0.000 0.000 0.000
0.034 0.203 0.500
0.203 0.703 0.169
0.297 0.466 0.500
0.466 0.966 0.169
0.500 0.500 0.000
0.534 0.034 0.831
0.703 0.534 0.500
0.797 0.297 0.831
0.966 0.797 0.500
```

formation energy from raw total energies: -1399 meV per atom
mass density: 8.48 g cm⁻³
raw total energy: -7.6016 eV/atom

---

# 7
Density functional theory data (PBE-GGA) for a relaxed K2Tl3Cd4Pb crystal.

Geometry as POSCAR:
```
K2Tl3Cd4Pb
1.0
5.040 0.000 0.000
0.000 5.040 0.000
0.000 0.000 12.788
K Tl Cd Pb
2 3 4 1
direct
0.000 0.500 0.246
0.500 0.000 0.754
0.000 0.500 0.870
0.500 0.000 0.130
0.500 0.500 0.500
0.000 0.000 0.000
0.000 0.500 0.640
0.500 0.000 0.360
0.500 0.500 0.000
0.000 0.000 0.500
```

energy of formation: -0.0548 eV per atom
mass density: 6.89 g cm⁻³
raw total energy: -1.7211 eV/atom

---

# 8
Density functional theory data (PBE-GGA) for a relaxed AsPPb crystal.

Geometry as POSCAR:
```
AsPPb
1.0
0.000 3.436 6.908
1.696 0.000 6.908
1.696 3.436 0.000
As P Pb
1 1 1
direct
0.000 0.000 0.000
0.390 0.390 0.610
0.709 0.709 0.291
```

energy of formation: 0.3746 eV per atom
mass density: 6.46 g cm⁻³
raw total energy: -4.2146 eV/atom
ΔE to the lowest computed polymorph: 300 meV/atom

---

# 9
Density functional theory data (PBE-GGA) for a relaxed CaTeO3 crystal.

Geometry as POSCAR:
```
CaTeO3
1.0
12.272 0.000 0.000
0.000 12.272 0.000
0.000 0.000 11.195
Ca Te O
20 20 60
direct
0.037 0.637 0.003
0.064 0.663 0.503
0.156 0.462 0.750
0.234 0.758 0.772
0.242 0.234 0.522
0.258 0.272 0.010
0.272 0.742 0.260
0.337 0.064 0.253
0.363 0.037 0.753
0.462 0.844 0.000
0.538 0.156 0.500
0.637 0.963 0.253
0.663 0.936 0.753
0.728 0.258 0.760
0.742 0.728 0.510
0.758 0.766 0.022
0.766 0.242 0.272
0.844 0.538 0.250
0.936 0.337 0.003
0.963 0.363 0.503
0.056 0.188 0.753
0.060 0.160 0.278
0.115 0.494 0.244
0.160 0.940 0.528
0.188 0.944 0.003
0.331 0.563 0.525
0.342 0.557 0.982
0.437 0.331 0.275
0.443 0.342 0.732
0.494 0.885 0.494
0.506 0.115 0.994
0.557 0.658 0.232
0.563 0.669 0.775
0.658 0.443 0.482
0.669 0.437 0.025
0.812 0.056 0.503
0.840 0.060 0.028
0.885 0.506 0.744
0.940 0.840 0.778
0.944 0.812 0.253
0.003 0.473 0.126
0.008 0.517 0.368
0.052 0.773 0.685
0.092 0.257 0.900
0.101 0.277 0.378
0.101 0.821 0.970
0.102 0.301 0.648
0.128 0.642 0.194
0.166 0.820 0.421
0.179 0.101 0.720
0.180 0.166 0.171
0.210 0.598 0.901
0.224 0.615 0.634
0.227 0.052 0.435
0.244 0.589 0.390
0.257 0.908 0.150
0.277 0.899 0.628
0.278 0.455 0.088
0.298 0.415 0.555
0.301 0.898 0.898
0.318 0.367 0.831
0.358 0.128 0.944
0.367 0.682 0.081
0.385 0.224 0.384
0.402 0.210 0.651
0.411 0.244 0.140
0.415 0.702 0.805
0.455 0.722 0.338
0.473 0.997 0.376
0.483 0.008 0.118
0.517 0.992 0.618
0.527 0.003 0.876
0.545 0.278 0.838
0.585 0.298 0.305
0.589 0.756 0.640
0.598 0.790 0.151
0.615 0.776 0.884
0.633 0.318 0.581
0.642 0.872 0.444
0.682 0.633 0.331
0.699 0.102 0.398
0.702 0.585 0.055
0.722 0.545 0.588
0.723 0.101 0.128
0.743 0.092 0.650
0.756 0.411 0.890
0.773 0.948 0.935
0.776 0.385 0.134
0.790 0.402 0.401
0.820 0.834 0.671
0.821 0.899 0.220
0.834 0.180 0.921
0.872 0.358 0.694
0.898 0.699 0.148
0.899 0.179 0.470
0.899 0.723 0.878
0.908 0.743 0.400
0.948 0.227 0.185
0.992 0.483 0.868
0.997 0.527 0.626
```

formation energy from raw total energies: -1991 meV per atom
mass density: 4.25 g cm⁻³
raw total energy: -5.9941 eV/atom

---

# 10
Density functional theory data (PBE-GGA) for a relaxed ZnCo2Br crystal.

Geometry as POSCAR:
```
ZnCo2Br
1.0
1.488 -2.601 0.000
1.488 2.601 0.000
0.000 0.000 8.018
Zn Co Br
1 2 1
direct
0.000 0.000 0.000
0.500 0.500 0.247
0.500 0.500 0.753
0.000 0.000 0.500
```

formation energy from raw total energies: 653 meV per atom
mass density: 7.04 g cm⁻³
raw total energy: -3.6366 eV/atom
ΔE to the lowest computed polymorph: 383 meV/atom

---

# 11
Density functional theory data (PBE-GGA) for a relaxed SbAuCI2 crystal.

Geometry as POSCAR:
```
SbAuCI2
1.0
5.740 0.000 0.000
0.000 5.740 0.000
0.000 0.000 5.320
Sb Au C I
1 1 1 2
direct
0.000 0.000 0.000
0.000 0.000 0.500
0.500 0.500 0.000
0.000 0.500 0.500
0.500 0.000 0.500
```

formation energy from raw total energies: 1745 meV per atom
mass density: 5.54 g cm⁻³
raw total energy: -2.1995 eV/atom
ΔE to the lowest computed polymorph: 489 meV/atom

---

# 12
Density functional theory data (PBE-GGA) for a relaxed Al2AsIrI crystal.

Geometry as POSCAR:
```
Al2AsIrI
1.0
4.979 0.000 0.000
0.000 4.979 0.000
0.000 0.000 4.735
Al As Ir I
2 1 1 1
direct
0.000 0.500 0.000
0.500 0.000 0.000
0.000 0.000 0.500
0.000 0.000 0.000
0.500 0.500 0.500
```

formation energy from raw total energies: -102 meV per atom
mass density: 6.34 g cm⁻³
raw total energy: -4.6112 eV/atom